# FeTe2Pb

A relaxed structure of FeTe2Pb (PBEsol, the Alexandria database).

```
FeTe2Pb
1.0
3.180 0.000 0.000
0.000 3.180 0.000
0.000 0.000 9.316
Fe Te Pb
1 2 1
direct
0.000 0.000 0.000
0.000 0.000 0.523
0.500 0.500 0.864
0.500 0.500 0.213
```

Summary:
The raw formation energy is 15.6 kJ/mol of atoms. As for the total energy: -19.37 eV per cell. For the total magnetic moment, the calculation gives 0.270 μB per atom. As for the crystal system: tetragonal. For the density of states at the Fermi level, the calculation gives 3.45 states/eV/f.u.